Here is a relaxed K2BeSi crystal from the Alexandria database. Energies are from PBEsol.

```
K2BeSi
1.0
5.7831 0.0000 0.0000
-2.8916 5.0083 0.0000
0.0000 0.0000 4.1587
K Be Si
2 1 1
direct
0.0000 0.0000 0.0000
0.3333 0.6667 0.5000
0.6667 0.3333 0.0000
0.6667 0.3333 0.5000
```

Results
Raw total energy: -2.812 eV/atom
DOS(E_F): 0.17 states/eV/atom

Here is a relaxed BTe3Os crystal from the Alexandria database. Energies are from PBEsol.

```
BTe3Os
1.0
4.5918 0.0000 0.0000
0.0000 4.5918 0.0000
0.0000 0.0000 4.5918
B Te Os
1 3 1
direct
0.0000 0.0000 0.0000
0.0000 0.0000 0.5000
0.0000 0.5000 0.0000
0.5000 0.0000 0.0000
0.5000 0.5000 0.5000
```

Results
Raw total energy: -4.673 eV/atom
DOS(E_F): 0.46 states/eV/atom

Here is a relaxed CaMnSbI2 crystal from the Alexandria database. Energies are from PBEsol.

```
CaMnSbI2
1.0
5.3663 0.0000 0.0000
0.0000 5.3663 0.0000
0.0000 0.0000 5.3697
Ca Mn Sb I
1 1 1 2
direct
0.0000 0.0000 0.0000
0.5000 0.5000 0.5000
0.5000 0.5000 0.0000
0.0000 0.5000 0.5000
0.5000 0.0000 0.5000
```

Results
Raw total energy: -4.194 eV/atom
DOS(E_F): 0.62 states/eV/atom

Here is a relaxed ZrNiAs crystal from the Alexandria database. Energies are from PBEsol.

```
ZrNiAs
1.0
6.4397 0.0000 0.0000
0.0000 3.8594 0.0000
0.0000 0.0000 7.2409
Zr Ni As
4 4 4
direct
0.0123 0.2500 0.1878
0.4877 0.7500 0.6878
0.5123 0.2500 0.3122
0.9877 0.7500 0.8122
0.1647 0.2500 0.5740
0.3353 0.7500 0.0740
0.6647 0.2500 0.9260
0.8353 0.7500 0.4260
0.2167 0.7500 0.3947
0.2833 0.2500 0.8947
0.7167 0.7500 0.1053
0.7833 0.2500 0.6053
```

Results
Formation energy: -0.9732 eV per atom
DOS(E_F): 0.53 states/eV/atom

Here is a relaxed ScTiHg3 crystal from the Alexandria database. Energies are from PBEsol.

```
ScTiHg3
1.0
5.0572 0.0000 0.0000
0.0000 5.0572 0.0000
0.0000 0.0000 5.0572
Sc Ti Hg
1 1 3
direct
0.0000 0.0000 0.0000
0.5000 0.5000 0.5000
0.0000 0.5000 0.5000
0.5000 0.0000 0.5000
0.5000 0.5000 0.0000
```

Results
Formation energy: 0.4892 eV per atom
DOS(E_F): 1.24 states/eV/atom

Here is a relaxed LaZnSb2Te crystal from the Alexandria database. Energies are from PBEsol.

```
LaZnSb2Te
1.0
5.1464 0.0000 0.0000
0.0000 5.1464 0.0000
0.0000 0.0000 5.3220
La Zn Sb Te
1 1 2 1
direct
0.0000 0.0000 0.0000
0.5000 0.5000 0.5000
0.0000 0.5000 0.5000
0.5000 0.0000 0.5000
0.5000 0.5000 0.0000
```

Results
Raw total energy: -4.125 eV/atom
DOS(E_F): 0.71 states/eV/atom

Here is a relaxed Li2CuAu crystal from the Alexandria database. Energies are from PBEsol.

```
Li2CuAu
1.0
2.6865 0.0000 0.0000
0.0000 3.9491 0.0000
0.0000 0.0000 5.2801
Li Cu Au
2 1 1
direct
0.0000 0.0000 0.0000
0.5000 0.5000 0.2798
0.5000 0.5000 0.7633
0.0000 0.0000 0.5144
```

Results
Formation energy: -0.2242 eV per atom
DOS(E_F): 0.25 states/eV/atom

Here is a relaxed LiTe2Se crystal from the Alexandria database. Energies are from PBEsol.

```
LiTe2Se
1.0
4.2640 0.0000 0.0000
0.0000 4.2640 0.0000
0.0000 0.0000 5.7457
Li Te Se
1 2 1
direct
0.0000 0.0000 0.0000
0.0000 0.0000 0.4947
0.5000 0.5000 0.5420
0.5000 0.5000 0.9956
```

Results
Raw total energy: -3.602 eV/atom
DOS(E_F): 0.24 states/eV/atom

Here is a relaxed YBN2F crystal from the Alexandria database. Energies are from PBEsol.

```
YBN2F
1.0
3.3778 0.0000 0.0000
0.0000 3.3778 0.0000
0.0000 0.0000 3.8340
Y B N F
1 1 2 1
direct
0.0000 0.0000 0.0000
0.5000 0.5000 0.5000
0.0000 0.5000 0.5000
0.5000 0.0000 0.5000
0.5000 0.5000 0.0000
```

Results
Raw total energy: -7.616 eV/atom
DOS(E_F): 0.21 states/eV/atom

Here is a relaxed Na2Zn2In crystal from the Alexandria database. Energies are from PBEsol.

```
Na2Zn2In
1.0
-1.7084 1.7084 10.1750
1.7084 -1.7084 10.1750
1.7084 1.7084 -10.1750
Na Zn In
2 2 1
direct
0.1150 0.1150 0.0000
0.8850 0.8850 0.0000
0.2500 0.7500 0.5000
0.7500 0.2500 0.5000
0.5000 0.5000 0.0000
```

Results
Formation energy: 0.0751 eV per atom
DOS(E_F): 0.45 states/eV/atom

Here is a relaxed LaAgP3 crystal from the Alexandria database. Energies are from PBEsol.

```
LaAgP3
1.0
4.7503 0.0000 0.0000
0.0000 4.7503 0.0000
0.0000 0.0000 4.7503
La Ag P
1 1 3
direct
0.0000 0.0000 0.0000
0.5000 0.5000 0.5000
0.0000 0.5000 0.5000
0.5000 0.0000 0.5000
0.5000 0.5000 0.0000
```

Results
Formation energy: 0.0426 eV per atom
DOS(E_F): 0.58 states/eV/atom

Here is a relaxed Si2RuPb crystal from the Alexandria database. Energies are from PBEsol.

```
Si2RuPb
1.0
-1.4582 2.3607 5.1376
1.4582 -2.3607 5.1376
1.4582 2.3607 -5.1376
Si Ru Pb
2 1 1
direct
0.2017 0.2017 0.0000
0.7983 0.7983 0.0000
0.0000 0.5000 0.5000
0.5000 0.0000 0.5000
```

Results
Raw total energy: -6.026 eV/atom
DOS(E_F): 0.69 states/eV/atom

Here is a relaxed LaZrMn2 crystal from the Alexandria database. Energies are from PBEsol.

```
LaZrMn2
1.0
0.0000 3.3327 3.3327
3.3327 0.0000 3.3327
3.3327 3.3327 0.0000
La Zr Mn
1 1 2
direct
0.0000 0.0000 0.0000
0.2500 0.2500 0.2500
0.5000 0.5000 0.5000
0.7500 0.7500 0.7500
```

Results
Formation energy: 0.4734 eV per atom
DOS(E_F): 1.51 states/eV/atom

Here is a relaxed CaC2ICl crystal from the Alexandria database. Energies are from PBEsol.

```
CaC2ICl
1.0
5.0981 0.0000 0.0000
0.0000 5.0981 0.0000
0.0000 0.0000 4.9417
Ca C I Cl
1 2 1 1
direct
0.0000 0.0000 0.0000
0.0000 0.5000 0.0000
0.5000 0.0000 0.0000
0.5000 0.5000 0.5000
0.0000 0.0000 0.5000
```

Results
Raw total energy: -3.150 eV/atom
DOS(E_F): 0.46 states/eV/atom

Here is a relaxed MnAl2Fe crystal from the Alexandria database. Energies are from PBEsol.

```
MnAl2Fe
1.0
-1.4020 2.0133 4.1917
1.4020 -2.0133 4.1917
1.4020 2.0133 -4.1917
Mn Al Fe
1 2 1
direct
0.0000 0.0000 0.0000
0.2518 0.7518 0.5000
0.5291 0.5291 0.0000
0.7741 0.2741 0.5000
```

Results
Formation energy: -0.2165 eV per atom
DOS(E_F): 0.63 states/eV/atom